1.
A plane-wave DFT calculation with GGA-PBE was carried out for crystalline PmAg2S2 at its relaxed geometry.

Summary:
D(E_F) in states/eV/atom: 0.4502
Symmetry: No. 15
VASP energy in eV/atom: -4.47
Magnetic moment in μB per cell: 0.000

abc: 7.425 5.820 5.820
angles: 89.00 110.71 110.71
Fractional positions:
Pm 0.250 0.860 0.140
Pm 0.750 0.140 0.860
Ag 0.000 0.500 0.500
Ag 0.000 0.000 0.500
Ag 0.500 0.500 0.500
Ag 0.500 0.500 0.000
S 0.198 0.333 0.115
S 0.802 0.667 0.885
S 0.302 0.885 0.667
S 0.698 0.115 0.333

2.
A plane-wave DFT calculation with GGA-PBE was carried out for crystalline Pm5AgS4 at its relaxed geometry.

Summary:
D(E_F) in states/eV/atom: 0.6783
Symmetry: No. 12
VASP energy in eV/atom: -5.96
Magnetic moment in μB per cell: 0.000

abc: 4.052 7.123 9.132
angles: 75.59 77.18 73.48
Fractional positions:
Pm 0.205 0.901 0.688
Pm 0.795 0.099 0.312
Pm 0.390 0.328 0.891
Pm 0.000 0.500 0.500
Pm 0.610 0.672 0.109
Ag 0.000 0.000 0.000
S 0.597 0.204 0.601
S 0.204 0.388 0.204
S 0.796 0.612 0.796
S 0.403 0.796 0.399

3.
A plane-wave DFT calculation with GGA-PBE was carried out for crystalline Pm3AgS6 at its relaxed geometry.

Summary:
D(E_F) in states/eV/atom: 0.5881
Symmetry: No. 36
VASP energy in eV/atom: -5.61
Magnetic moment in μB per cell: 1.723

abc: 6.823 8.607 8.607
angles: 103.41 90.00 90.00
Last column: magnetic moment on the atom in μB.
Fractional positions:
Pm 0.489 0.918 0.706  0.01
Pm 0.989 0.706 0.918  0.01
Pm 0.394 0.402 0.598  0.00
Pm 0.894 0.598 0.402  0.00
Pm 0.989 0.082 0.294  0.01
Pm 0.489 0.294 0.082  0.01
Ag 0.975 0.147 0.853  0.07
Ag 0.475 0.853 0.147  0.07
S 0.190 0.692 0.636  0.01
S 0.690 0.636 0.692  0.01
S 0.185 0.407 0.896  0.20
S 0.685 0.896 0.407  0.20
S 0.239 0.009 0.991  0.02
S 0.648 0.229 0.771  0.05
S 0.148 0.771 0.229  0.05
S 0.739 0.991 0.009  0.02
S 0.185 0.104 0.593  0.20
S 0.685 0.593 0.104  0.20
S 0.190 0.364 0.308  0.01
S 0.690 0.308 0.364  0.01

4.
A plane-wave DFT calculation with GGA-PBE was carried out for crystalline Pm5AgS8 at its relaxed geometry.

Summary:
D(E_F) in states/eV/atom: 0.0000
Symmetry: No. 82
VASP energy in eV/atom: -6.09
Magnetic moment in μB per cell: 0.000

abc: 7.382 7.382 7.382
angles: 109.72 108.97 109.72
Fractional positions:
Pm 0.014 0.381 0.130
Pm 0.870 0.884 0.251
Pm 0.749 0.619 0.633
Pm 0.500 0.000 0.500
Pm 0.367 0.116 0.986
Ag 0.250 0.500 0.750
S 0.133 0.752 0.024
S 0.976 0.109 0.728
S 0.751 0.240 0.357
S 0.643 0.394 0.883
S 0.489 0.606 0.249
S 0.619 0.891 0.867
S 0.272 0.248 0.381
S 0.117 0.760 0.511

5.
A plane-wave DFT calculation with GGA-PBE was carried out for crystalline Pm2AgS at its relaxed geometry.

Summary:
D(E_F) in states/eV/atom: 0.6610
Symmetry: No. 63
VASP energy in eV/atom: -5.25
Magnetic moment in μB per cell: 0.000

abc: 4.174 4.053 12.119
angles: 99.62 90.00 90.00
Fractional positions:
Pm 0.750 0.690 0.381
Pm 0.250 0.310 0.619
Pm 0.750 0.924 0.849
Pm 0.250 0.076 0.151
Ag 0.250 0.459 0.918
Ag 0.750 0.541 0.082
S 0.250 0.193 0.385
S 0.750 0.807 0.615

6.
A plane-wave DFT calculation with GGA-PBE was carried out for crystalline Pm3Ag4SbS8 at its relaxed geometry.

Summary:
Symmetry: No. 12
VASP energy in eV/atom: -4.90
Magnetic moment in μB per cell: 0.000

abc: 8.211 7.724 8.216
angles: 121.99 119.98 90.00
Fractional positions:
Pm 0.500 0.500 0.000
Pm 0.500 0.500 0.500
Pm 0.000 0.500 0.500
Ag 0.500 0.000 0.000
Ag 0.500 0.000 0.500
Ag 0.000 0.000 0.000
Ag 0.000 0.000 0.500
Sb 0.000 0.500 0.000
S 0.246 0.748 0.001
S 0.246 0.748 0.491
S 0.252 0.254 0.503
S 0.755 0.748 0.001
S 0.245 0.252 0.999
S 0.748 0.746 0.497
S 0.754 0.252 0.509
S 0.754 0.252 0.999

7.
A plane-wave DFT calculation with GGA-PBE was carried out for crystalline PmSiAg2S4 at its relaxed geometry.

Summary:
D(E_F) in states/eV/atom: 0.2132
Symmetry: No. 15
VASP energy in eV/atom: -4.69
Magnetic moment in μB per cell: 0.000

abc: 7.803 7.803 7.927
angles: 120.59 120.59 92.71
Fractional positions:
Pm 0.000 0.500 0.000
Pm 0.000 0.500 0.500
Si 0.500 0.500 0.500
Si 0.000 0.000 0.000
Ag 0.500 0.000 0.000
Ag 0.500 0.000 0.500
Ag 0.000 0.000 0.500
Ag 0.500 0.500 0.000
S 0.224 0.795 0.010
S 0.705 0.276 0.490
S 0.295 0.724 0.510
S 0.776 0.205 0.990
S 0.752 0.750 0.971
S 0.750 0.748 0.529
S 0.250 0.252 0.471
S 0.248 0.250 0.029

8.
A plane-wave DFT calculation with GGA-PBE was carried out for crystalline PmSi2AgS6 at its relaxed geometry.

Summary:
D(E_F) in states/eV/atom: 0.0000
Symmetry: No. 15
VASP energy in eV/atom: -5.18
Magnetic moment in μB per cell: 0.000

abc: 6.469 8.727 8.727
angles: 86.68 76.96 76.96
Fractional positions:
Pm 0.250 0.868 0.132
Pm 0.750 0.132 0.868
Si 0.256 0.775 0.631
Si 0.244 0.369 0.225
Si 0.744 0.225 0.369
Si 0.756 0.631 0.775
Ag 0.250 0.281 0.719
Ag 0.750 0.719 0.281
S 0.170 0.946 0.811
S 0.330 0.189 0.054
S 0.830 0.054 0.189
S 0.670 0.811 0.946
S 0.388 0.873 0.411
S 0.112 0.589 0.127
S 0.612 0.127 0.589
S 0.888 0.411 0.873
S 0.988 0.694 0.574
S 0.512 0.426 0.306
S 0.012 0.306 0.426
S 0.488 0.574 0.694

9.
A plane-wave DFT calculation with GGA-PBE was carried out for crystalline Pm3Ag3SnS8 at its relaxed geometry.

Summary:
D(E_F) in states/eV/atom: 0.0869
Symmetry: No. 12
VASP energy in eV/atom: -5.05
Magnetic moment in μB per cell: 0.000

abc: 8.143 8.138 7.809
angles: 121.59 90.00 120.02
Fractional positions:
Pm 0.500 0.000 0.500
Pm 0.500 0.500 0.500
Pm 0.000 0.500 0.500
Ag 0.000 0.000 0.000
Ag 0.000 0.500 0.000
Ag 0.500 0.500 0.000
Sn 0.000 0.000 0.500
S 0.253 0.506 0.260
S 0.747 0.494 0.740
S 0.767 0.534 0.262
S 0.233 0.466 0.738
S 0.767 0.993 0.262
S 0.233 0.007 0.738
S 0.227 0.993 0.262
S 0.773 0.007 0.738

10.
A plane-wave DFT calculation with GGA-PBE was carried out for crystalline PmAg2SnS4 at its relaxed geometry.

Summary:
D(E_F) in states/eV/atom: 0.1892
Symmetry: No. 10
VASP energy in eV/atom: -4.61
Magnetic moment in μB per cell: 0.000

abc: 4.029 7.011 6.604
angles: 110.93 90.00 90.00
Fractional positions:
Pm 0.500 0.500 0.000
Ag 0.500 0.000 0.500
Ag 0.000 0.500 0.500
Sn 0.000 0.000 0.000
S 0.500 0.248 0.254
S 0.500 0.752 0.746
S 0.000 0.242 0.753
S 0.000 0.758 0.247

11.
A plane-wave DFT calculation with GGA-PBE was carried out for crystalline Pm2AgSnS5 at its relaxed geometry.

Summary:
D(E_F) in states/eV/atom: 0.3704
Symmetry: No. 36
VASP energy in eV/atom: -5.27
Magnetic moment in μB per cell: 0.000

abc: 4.004 8.910 11.523
angles: 90.00 90.00 102.99
Fractional positions:
Pm 0.882 0.764 0.804
Pm 0.129 0.258 0.683
Pm 0.118 0.236 0.304
Pm 0.871 0.742 0.183
Ag 0.775 0.550 0.477
Ag 0.225 0.450 0.977
Sn 0.587 0.174 0.990
Sn 0.413 0.826 0.490
S 0.369 0.737 0.999
S 0.708 0.417 0.825
S 0.516 0.032 0.790
S 0.308 0.615 0.662
S 0.975 0.949 0.594
S 0.631 0.263 0.499
S 0.292 0.583 0.325
S 0.484 0.968 0.290
S 0.692 0.385 0.162
S 0.025 0.051 0.094

12.
A plane-wave DFT calculation with GGA-PBE was carried out for crystalline SrPm2AgS4 at its relaxed geometry.

Summary:
D(E_F) in states/eV/atom: 0.1902
Symmetry: No. 63
VASP energy in eV/atom: -5.50
Magnetic moment in μB per cell: 0.000

abc: 4.052 7.097 14.111
angles: 90.00 90.00 106.59
Fractional positions:
Sr 0.125 0.249 0.750
Sr 0.875 0.751 0.250
Pm 0.374 0.747 0.559
Pm 0.626 0.253 0.059
Pm 0.626 0.253 0.441
Pm 0.374 0.747 0.941
Ag 0.852 0.704 0.750
Ag 0.148 0.296 0.250
S 0.274 0.548 0.116
S 0.726 0.452 0.616
S 0.726 0.452 0.884
S 0.274 0.548 0.384
S 0.000 0.000 0.500
S 0.000 0.000 0.000
S 0.462 0.923 0.750
S 0.538 0.077 0.250

Number 1: ΔE_f (raw) -0.732 eV/atom, volume 21.83 Å³ per atom. Number 2: ΔE_f (raw) -1.644 eV/atom, volume 24.15 Å³ per atom. Number 3: ΔE_f (raw) -1.419 eV/atom, volume 24.59 Å³ per atom. Number 4: ΔE_f (raw) -1.835 eV/atom, volume 22.12 Å³ per atom. Number 5: ΔE_f (raw) -1.130 eV/atom, volume 25.26 Å³ per atom. Number 6: ΔE_f (raw) -0.973 eV/atom, volume 22.32 Å³ per atom. Number 7: ΔE_f (raw) -0.638 eV/atom, volume 20.35 Å³ per atom. Number 8: ΔE_f (raw) -0.854 eV/atom, volume 23.38 Å³ per atom. Number 9: ΔE_f (raw) -1.059 eV/atom, volume 23.78 Å³ per atom. Number 10: ΔE_f (raw) -0.739 eV/atom, volume 21.78 Å³ per atom. Number 11: ΔE_f (raw) -1.161 eV/atom, volume 22.26 Å³ per atom. Number 12: ΔE_f (raw) -1.683 eV/atom, volume 24.30 Å³ per atom.